Density functional theory data (meta-GGA SCAN) for a PBEsol-optimized structure of Ta5Co.

## Properties
* volume: 197 Å³ per cell
* density of states at the Fermi level: 8.9 states/eV per cell
* DFT formation energy: -46 meV/atom

Lattice parameters (Å, degrees): 10.131 3.254 6.283 90.00 108.35 90.00
Space group C2/m (No. 12)
One atom of each set of equivalent atoms:
1 Ta 0.000 0.000 0.000
2 Ta 0.161 0.500 0.337
3 Ta 0.163 0.500 0.824
4 Co 0.000 0.000 0.500